# 1
Entry from the Alexandria database: a relaxed Ac3SO3 crystal (PBE).

Values from the calculation:
DOS at the Fermi energy: 0.45 states/eV/cell
Raw formation energy: -20.940 eV/f.u.
Calculated volume: 23.6 Å³ per atom

a = 8.3121 Å, b = 8.3121 Å, c = 8.3121 Å
α = 52.12°, β = 52.12°, γ = 52.12°
With the nearest neighbours (Å) after each atom.
Element x y z (fractional)
Ac 0.0927 0.4251 0.7605  4 O 2.51-2.53
Ac 0.2395 0.9073 0.5749  4 O 2.51-2.53
Ac 0.4251 0.7605 0.0927  4 O 2.51-2.53
Ac 0.5749 0.2395 0.9073  4 O 2.51-2.53
Ac 0.7605 0.0927 0.4251  4 O 2.51-2.53
Ac 0.9073 0.5749 0.2395  4 O 2.51-2.53
S 0.3333 0.3333 0.3333  6 Ac 3.15
S 0.6667 0.6667 0.6667  6 Ac 3.15
O 0.1238 0.7905 0.4568  4 Ac 2.51-2.53
O 0.2095 0.5432 0.8762  4 Ac 2.51-2.53
O 0.4568 0.1238 0.7905  4 Ac 2.51-2.53
O 0.5432 0.8762 0.2095  4 Ac 2.51-2.53
O 0.7905 0.4568 0.1238  4 Ac 2.51-2.53
O 0.8762 0.2095 0.5432  4 Ac 2.51-2.53

# 2
Entry from the Alexandria database: a relaxed Tl2PbCl8 crystal (PBE).

Values from the calculation:
DOS at the Fermi energy: 0.00 states/eV/cell
Raw formation energy: -8.461 eV/f.u.
Excess energy over the best structure of this formula in the dataset: 8 meV/atom
Calculated volume: 36.8 Å³ per atom

a = 8.1317 Å, b = 8.1317 Å, c = 6.9305 Å
α = 100.28°, β = 100.28°, γ = 64.68°
With the nearest neighbours (Å) after each atom.
Element x y z (fractional)
Tl 0.2102 0.2102 0.1822  4 Cl 2.39-2.53
Tl 0.7898 0.7898 0.8178  4 Cl 2.39-2.53
Pb 0.0000 0.0000 0.5000  6 Cl 2.91-2.96
Cl 0.1037 0.6802 0.7152  1 Tl 2.51
Cl 0.1801 0.1801 0.8088  1 Tl 2.53
Cl 0.3198 0.8963 0.2848  1 Tl 2.51
Cl 0.3877 0.3877 0.2876  1 Tl 2.39
Cl 0.6123 0.6123 0.7124  1 Tl 2.39
Cl 0.6802 0.1037 0.7152  1 Tl 2.51
Cl 0.8199 0.8199 0.1912  1 Tl 2.53
Cl 0.8963 0.3198 0.2848  1 Tl 2.51

# 3
Entry from the Alexandria database: a relaxed K5Gd3I12 crystal (PBE).

Values from the calculation:
DOS at the Fermi energy: 60.81 states/eV/cell
Raw formation energy: -25.255 eV/f.u.
Calculated volume: 55.2 Å³ per atom

a = 17.8964 Å, b = 17.8964 Å, c = 17.8964 Å
α = 109.47°, β = 109.47°, γ = 109.47°
With the nearest neighbours (Å) after each atom.
Element x y z (fractional)
K 0.0000 0.0000 0.0000  6 I 3.49
K 0.0000 0.0000 0.5000  6 I 3.49
K 0.0000 0.5000 0.0000  6 I 3.49
K 0.0000 0.5000 0.5000  6 I 3.49
K 0.1250 0.7500 0.8750  4 I 3.70
K 0.1250 0.8750 0.2500  4 I 3.70
K 0.2500 0.1250 0.8750  4 I 3.70
K 0.2500 0.6250 0.3750  4 I 3.70
K 0.3750 0.2500 0.6250  4 I 3.70
K 0.3750 0.6250 0.7500  4 I 3.70
K 0.5000 0.0000 0.0000  6 I 3.49
K 0.5000 0.0000 0.5000  6 I 3.49
K 0.5000 0.5000 0.0000  6 I 3.49
K 0.5000 0.5000 0.5000  6 I 3.49
K 0.6250 0.3750 0.2500  4 I 3.70
K 0.6250 0.7500 0.3750  4 I 3.70
K 0.7500 0.3750 0.6250  4 I 3.70
K 0.7500 0.8750 0.1250  4 I 3.70
K 0.8750 0.1250 0.7500  4 I 3.70
K 0.8750 0.2500 0.1250  4 I 3.70
Gd 0.1250 0.2500 0.3750  4 I 3.02
Gd 0.1250 0.3750 0.7500  4 I 3.02
Gd 0.2500 0.3750 0.1250  4 I 3.02
Gd 0.2500 0.8750 0.6250  4 I 3.02
Gd 0.3750 0.1250 0.2500  4 I 3.02
Gd 0.3750 0.7500 0.1250  4 I 3.02
Gd 0.6250 0.2500 0.8750  4 I 3.02
Gd 0.6250 0.8750 0.7500  4 I 3.02
Gd 0.7500 0.1250 0.3750  4 I 3.02
Gd 0.7500 0.6250 0.8750  4 I 3.02
Gd 0.8750 0.6250 0.2500  4 I 3.02
Gd 0.8750 0.7500 0.6250  4 I 3.02
I 0.0286 0.6383 0.2101  1 Gd 3.02
I 0.0286 0.8903 0.8185  1 Gd 3.02
I 0.0718 0.1815 0.7101  1 Gd 3.02
I 0.0718 0.3903 0.3617  1 Gd 3.02
I 0.1097 0.1815 0.9714  1 Gd 3.02
I 0.1097 0.4282 0.1383  1 Gd 3.02
I 0.1383 0.1097 0.4282  1 Gd 3.02
I 0.1383 0.5286 0.7101  1 Gd 3.02
I 0.1815 0.7101 0.0718  1 Gd 3.02
I 0.1815 0.9714 0.1097  1 Gd 3.02
I 0.2101 0.0286 0.6383  1 Gd 3.02
I 0.2101 0.6815 0.5718  1 Gd 3.02
I 0.2899 0.8617 0.4714  1 Gd 3.02
I 0.2899 0.9282 0.8185  1 Gd 3.02
I 0.3185 0.3903 0.5286  1 Gd 3.02
I 0.3185 0.4282 0.7899  1 Gd 3.02
I 0.3617 0.0718 0.3903  1 Gd 3.02
I 0.3617 0.7899 0.9714  1 Gd 3.02
I 0.3903 0.3617 0.0718  1 Gd 3.02
I 0.3903 0.5286 0.3185  1 Gd 3.02
I 0.4282 0.1383 0.1097  1 Gd 3.02
I 0.4282 0.7899 0.3185  1 Gd 3.02
I 0.4714 0.2899 0.8617  1 Gd 3.02
I 0.4714 0.6815 0.6097  1 Gd 3.02
I 0.5286 0.3185 0.3903  1 Gd 3.02
I 0.5286 0.7101 0.1383  1 Gd 3.02
I 0.5718 0.2101 0.6815  1 Gd 3.02
I 0.5718 0.8617 0.8903  1 Gd 3.02
I 0.6097 0.4714 0.6815  1 Gd 3.02
I 0.6097 0.6383 0.9282  1 Gd 3.02
I 0.6383 0.2101 0.0286  1 Gd 3.02
I 0.6383 0.9282 0.6097  1 Gd 3.02
I 0.6815 0.5718 0.2101  1 Gd 3.02
I 0.6815 0.6097 0.4714  1 Gd 3.02
I 0.7101 0.0718 0.1815  1 Gd 3.02
I 0.7101 0.1383 0.5286  1 Gd 3.02
I 0.7899 0.3185 0.4282  1 Gd 3.02
I 0.7899 0.9714 0.3617  1 Gd 3.02
I 0.8185 0.0286 0.8903  1 Gd 3.02
I 0.8185 0.2899 0.9282  1 Gd 3.02
I 0.8617 0.4714 0.2899  1 Gd 3.02
I 0.8617 0.8903 0.5718  1 Gd 3.02
I 0.8903 0.5718 0.8617  1 Gd 3.02
I 0.8903 0.8185 0.0286  1 Gd 3.02
I 0.9282 0.6097 0.6383  1 Gd 3.02
I 0.9282 0.8185 0.2899  1 Gd 3.02
I 0.9714 0.1097 0.1815  1 Gd 3.02
I 0.9714 0.3617 0.7899  1 Gd 3.02